# CuAgOs2

A crystal of CuAgOs2 relaxed with PBEsol (meta-GGA SCAN, Alexandria).

**Distance to the lowest polymorph of the same formula**: 0.000 eV per atom
**Volume**: 56.5 Å³/f.u.
**Symmetry**: No. 8

a b c (Å): 2.705 4.617 4.788
angles (deg): 98.60 90.00 107.03
Sites, in units of the cell vectors:
Os (0.001, 0.002, 0.029)
Ag (0.501, 0.002, 0.529)
Cu (0.253, 0.507, 0.734)
Os (0.744, 0.489, 0.208)

***

# OsRu2

A crystal of OsRu2 relaxed with PBEsol (meta-GGA SCAN, Alexandria).

**Distance to the lowest polymorph of the same formula**: 0.000 eV per atom
**Volume**: 40.5 Å³/f.u.
**Symmetry**: No. 62

a b c (Å): 4.274 4.678 8.102
angles (deg): 90.00 90.00 90.00
Sites, in units of the cell vectors:
Os (0.750, 0.831, 0.167)
Ru (0.250, 0.667, 0.000)
Ru (0.750, 0.335, 0.666)
Ru (0.750, 0.835, 0.834)
Ru (0.250, 0.665, 0.334)
Ru (0.250, 0.167, 0.500)
Ru (0.250, 0.165, 0.166)
Os (0.750, 0.331, 0.333)
Os (0.250, 0.169, 0.833)
Ru (0.750, 0.833, 0.500)
Ru (0.750, 0.333, 0.000)
Os (0.250, 0.669, 0.667)

***

# BaAgRu2

A crystal of BaAgRu2 relaxed with PBEsol (meta-GGA SCAN, Alexandria).

**Volume**: 76.1 Å³/f.u.
**Symmetry**: No. 123
**Total energy**: -1.2517 hartree per atom

a b c (Å): 2.962 2.962 8.681
angles (deg): 90.00 90.00 90.00
Last column: magnetic moment on the atom in μB.
Sites, in units of the cell vectors:
Ru (0.000, 0.000, 0.794)  1.53
Ba (0.500, 0.500, 0.500)  -0.11
Ru (0.000, 0.000, 0.206)  1.53
Ag (0.500, 0.500, 0.000)  0.05

***

# MgBeRe4

A crystal of MgBeRe4 relaxed with PBEsol (meta-GGA SCAN, Alexandria).

**Volume**: 95.8 Å³/f.u.
**Symmetry**: No. 216
**Total energy**: -1.7828 hartree per atom

a b c (Å): 5.136 5.136 5.136
angles (deg): 60.00 60.00 60.00
Sites, in units of the cell vectors:
Re (0.874, 0.375, 0.375)
Re (0.375, 0.375, 0.874)
Re (0.375, 0.375, 0.375)
Be (0.750, 0.750, 0.750)
Mg (0.000, 0.000, 0.000)
Re (0.375, 0.874, 0.375)

***

# Pd2PtPb

A crystal of Pd2PtPb relaxed with PBEsol (meta-GGA SCAN, Alexandria).

**Volume**: 66.2 Å³/f.u.
**Symmetry**: No. 225
**Total energy**: -1.9465 hartree per atom

a b c (Å): 4.541 4.541 4.541
angles (deg): 60.00 60.00 60.00
Sites, in units of the cell vectors:
Pd (0.250, 0.250, 0.250)
Pt (0.000, 0.000, 0.000)
Pd (0.750, 0.750, 0.750)
Pb (0.500, 0.500, 0.500)

***

# Li3Mg

A crystal of Li3Mg relaxed with PBEsol (meta-GGA SCAN, Alexandria).

**Volume**: 81.4 Å³/f.u.
**Symmetry**: No. 12
**Total energy**: -0.1121 hartree per atom

a b c (Å): 3.096 3.096 9.990
angles (deg): 81.35 81.35 59.75
Sites, in units of the cell vectors:
Li (0.250, 0.250, 0.250)
Mg (0.000, 0.000, 0.000)
Li (0.500, 0.500, 0.500)
Li (0.750, 0.750, 0.750)

***

# GaFe2ReAs

A crystal of GaFe2ReAs relaxed with PBEsol (meta-GGA SCAN, Alexandria).

**Volume**: 81.8 Å³/f.u.
**Symmetry**: No. 123
**Total energy**: -1.0229 hartree per atom

a b c (Å): 4.228 4.228 4.575
angles (deg): 90.00 90.00 90.00
Last column: magnetic moment on the atom in μB.
Sites, in units of the cell vectors:
As (0.000, 0.000, 0.000)  -0.07
Fe (0.000, 0.500, 0.000)  2.37
Fe (0.500, 0.000, 0.000)  2.37
Ga (0.500, 0.500, 0.500)  -0.04
Re (0.000, 0.000, 0.500)  -0.69

***

# MoWAu2

A crystal of MoWAu2 relaxed with PBEsol (meta-GGA SCAN, Alexandria).

**Distance to the lowest polymorph of the same formula**: 0.223 eV per atom
**Volume**: 65.1 Å³/f.u.
**Symmetry**: No. 216

a b c (Å): 4.515 4.515 4.515
angles (deg): 60.00 60.00 60.00
Sites, in units of the cell vectors:
Mo (0.500, 0.500, 0.500)
Au (0.000, 0.000, 0.000)
Au (0.750, 0.750, 0.750)
W (0.250, 0.250, 0.250)

***

DOS(E_F) for the records above, in order: 0.6482 0.7430 0.6661 0.5005 0.5185 0.3694 0.4509 0.5569 states/eV/atom